(1)
K5ZnSeO2 (PBE-GGA, optimized geometry); SG = No. 123; energy relative to the elements, uncorrected = -1087 meV per atom
1.0
5.392 0.000 0.000
0.000 5.392 0.000
0.000 0.000 9.114
K Zn Se O
5 1 1 2
Direct
0.000 0.000 0.500
0.000 0.500 0.755
0.500 0.000 0.245
0.000 0.500 0.245
0.500 0.000 0.755
0.000 0.000 0.000
0.500 0.500 0.500
0.000 0.000 0.199
0.000 0.000 0.801



(2)
Cs2VWCl6 (PBE-GGA, optimized geometry); SG = No. 139; energy relative to the elements, uncorrected = -1039 meV per atom
1.0
-5.110 -3.707 3.638
5.194 -3.712 3.514
0.088 -0.124 7.295
Cs Cl W V
2 6 1 1
Direct
0.750 0.250 0.500
0.250 0.750 0.500
0.246 0.246 0.508
0.754 0.754 0.492
0.246 0.246 0.000
0.754 0.754 0.000
0.754 0.246 0.000
0.246 0.754 0.000
0.000 0.000 0.000
0.500 0.500 0.000



(3)
Cd2ReOs (PBE-GGA, optimized geometry); energy of formation from the pure elements = 424.3 kJ/mol of formula units; SG = No. 123
1.0
-3.214 3.852 0.355
-2.410 -2.355 3.734
1.656 1.213 1.834
Re Os Cd
1 1 2
Direct
0.000 0.500 0.500
0.500 0.000 0.500
0.000 0.000 0.000
0.500 0.500 0.000



(4)
KBe2Tc (PBE-GGA, optimized geometry); energy of formation from the pure elements = 316.7 kJ/mol of formula units; SG = No. 166
1.0
-3.637 -3.200 -8.405
-4.785 -5.082 -6.737
-6.025 -2.643 -7.129
Be K Tc
2 1 1
Direct
0.017 0.017 0.017
0.483 0.483 0.483
0.250 0.250 0.250
0.750 0.750 0.750



(5)
Cs2AgH6Pt (PBE-GGA, optimized geometry); SG = No. 164; final energy = -32.5 eV/cell
1.0
-1.339 -1.706 -4.943
-5.793 -1.530 2.097
1.109 5.810 -2.305
Cs Ag H Pt
2 1 6 1
Direct
0.255 0.333 0.667
0.745 0.667 0.333
0.500 0.000 0.000
0.815 0.127 0.254
0.815 0.127 0.873
0.815 0.746 0.873
0.185 0.873 0.127
0.185 0.254 0.127
0.185 0.873 0.746
0.000 0.000 0.000



(6)
MgZr2Rh (PBE-GGA, optimized geometry); energy of formation from the pure elements = -91.5 kJ/mol of formula units; SG = No. 225
1.0
1.664 2.693 3.598
-2.527 0.414 4.051
1.565 -2.079 4.024
Mg Rh Zr
1 1 2
Direct
0.000 0.000 0.000
0.500 0.500 0.500
0.250 0.250 0.250
0.750 0.750 0.750



(7)
AlSb2H2 (PBE-GGA, optimized geometry); SG = No. 2; final energy = -35.9 eV/cell
1.0
8.878 -1.109 7.566
4.205 4.442 3.541
5.221 -0.894 9.522
Al Sb H
2 4 4
Direct
0.786 0.219 0.674
0.214 0.781 0.326
0.569 0.375 0.317
0.135 0.252 0.628
0.431 0.625 0.683
0.865 0.748 0.372
0.346 0.860 0.031
0.654 0.140 0.969
0.778 0.952 0.699
0.222 0.048 0.301



(8)
ZrSb2Br (PBE-GGA, optimized geometry); SG = No. 6; energy relative to the elements, uncorrected = -178 meV per atom
1.0
4.779 0.000 0.000
0.000 3.347 -0.004
0.000 0.644 6.300
Sb Br Zr
2 1 1
Direct
0.000 0.016 0.990
0.500 0.200 0.275
0.500 0.607 0.728
0.000 0.677 0.508



(9)
CaLaHo2 (PBE-GGA, optimized geometry); energy of formation from the pure elements = 65.8 kJ/mol of formula units; SG = No. 225
1.0
-1.128 -1.193 5.579
2.559 -4.543 2.577
4.087 0.873 4.044
Ca Ho La
1 2 1
Direct
0.500 0.500 0.500
0.250 0.250 0.250
0.750 0.750 0.750
0.000 0.000 0.000